# ZnTc2Os2

Crystalline ZnTc2Os2 at its relaxed geometry (PBE, Alexandria).

```
data_ZnTc2Os2
_space_group_name_H-M_alt 'P 1'
_space_group_IT_number 1
_space_group_name_Hall 'P 1'
_cell_length_a 7.547
_cell_length_b 7.547
_cell_length_c 2.756
_cell_angle_alpha 90.00
_cell_angle_beta 90.00
_cell_angle_gamma 90.00
loop_
_atom_site_label
_atom_site_fract_x
_atom_site_fract_y
_atom_site_fract_z
Zn1 0.000 0.000 0.000
Zn2 0.500 0.500 0.000
Os1 0.376 0.876 0.000
Os2 0.876 0.624 0.000
Os3 0.624 0.124 0.000
Os4 0.124 0.376 0.000
Tc1 0.166 0.666 0.500
Tc2 0.666 0.834 0.500
Tc3 0.834 0.334 0.500
Tc4 0.334 0.166 0.500
```

Values from the calculation:
Density, Mg/m³: 13.6
Electronic total energy, eV per formula unit: -43.2
ΔE_f, eV/atom: 0.25